Compound: SrCrP2O
Source: Alexandria
Functional: PBE+U
Structure: optimized geometry

Computed properties:
space-group type	No. 123
E above lowest polymorph	1.522	eV/atom
raw total energy	-3.720	eV/atom

a = 5.545 Å, b = 5.545 Å, c = 4.356 Å
α = 90.00°, β = 90.00°, γ = 90.00°
Atoms (fractional coordinates):
Sr1 0.000 0.000 0.000
Cr1 0.500 0.500 0.500
P1 0.000 0.500 0.000
P2 0.500 0.000 0.000
O1 0.000 0.000 0.500